(1)
This record from Alexandria via LeMat-Bulk describes a relaxed NdTm4Mg2 crystal. The functional is PBE.

Unit cell a=17.355 b=17.355 c=3.451 alpha=90.00 beta=90.00 gamma=168.45
Sites, in units of the cell vectors:
1 Nd 0.000 0.000 0.000
2 Tm 0.147 0.853 0.000
3 Tm 0.424 0.576 0.500
4 Tm 0.576 0.424 0.500
5 Tm 0.853 0.147 0.000
6 Mg 0.287 0.713 0.500
7 Mg 0.713 0.287 0.500

Results
* distance to the lowest polymorph of the same formula: 0 meV/atom
* DFT total energy: -25.5 eV/cell
* ΔE_f: 42 meV per atom
* theoretical density: 6.93 Mg/m³

=====

(2)
This record from Alexandria via LeMat-Bulk describes a relaxed Nd5Tm5Mg2 crystal. The functional is PBE.

Unit cell a=8.004 b=8.004 c=10.965 alpha=115.93 beta=115.93 gamma=36.86
Sites, in units of the cell vectors:
1 Nd 0.000 0.000 0.000
2 Nd 0.081 0.081 0.745
3 Nd 0.252 0.252 0.259
4 Nd 0.748 0.748 0.741
5 Nd 0.919 0.919 0.255
6 Tm 0.333 0.333 0.001
7 Tm 0.414 0.414 0.741
8 Tm 0.500 0.500 0.500
9 Tm 0.586 0.586 0.259
10 Tm 0.667 0.667 0.999
11 Mg 0.167 0.167 0.499
12 Mg 0.833 0.833 0.501

Results
* DFT total energy: -49.2 eV/cell
* ΔE_f: 16 meV per atom
* theoretical density: 7.17 Mg/m³

=====

(3)
This record from Alexandria via LeMat-Bulk describes a relaxed Nd6TmMg2 crystal. The functional is PBE.

Unit cell a=11.298 b=11.298 c=5.189 alpha=90.09 beta=90.09 gamma=62.99
Sites, in units of the cell vectors:
1 Nd 0.000 0.174 0.251
2 Nd 0.000 0.826 0.749
3 Nd 0.015 0.615 0.248
4 Nd 0.174 0.000 0.751
5 Nd 0.291 0.513 0.750
6 Nd 0.385 0.985 0.252
7 Nd 0.487 0.709 0.750
8 Nd 0.513 0.291 0.250
9 Nd 0.615 0.015 0.748
10 Nd 0.709 0.487 0.250
11 Nd 0.826 0.000 0.249
12 Nd 0.985 0.385 0.752
13 Tm 0.243 0.757 0.250
14 Tm 0.757 0.243 0.750
15 Mg 0.207 0.312 0.254
16 Mg 0.312 0.207 0.754
17 Mg 0.688 0.793 0.246
18 Mg 0.793 0.688 0.746

Results
* distance to the lowest polymorph of the same formula: 35 meV/atom
* DFT total energy: -70.8 eV/cell
* ΔE_f: 95 meV per atom
* theoretical density: 6.10 Mg/m³

=====

(4)
This record from Alexandria via LeMat-Bulk describes a relaxed NdTm4Mg crystal. The functional is PBE.

Unit cell a=3.555 b=3.555 c=14.196 alpha=90.00 beta=90.00 gamma=90.00
Sites, in units of the cell vectors:
1 Nd 0.000 0.000 0.000
2 Tm 0.000 0.000 0.348
3 Tm 0.000 0.000 0.652
4 Tm 0.500 0.500 0.179
5 Tm 0.500 0.500 0.821
6 Mg 0.500 0.500 0.500

Results
* distance to the lowest polymorph of the same formula: 0 meV/atom
* DFT total energy: -24.3 eV/cell
* ΔE_f: -2 meV per atom
* theoretical density: 7.82 Mg/m³

=====

(5)
This record from Alexandria via LeMat-Bulk describes a relaxed Nd8Tm2Mg crystal. The functional is PBE.

Unit cell a=8.461 b=8.461 c=5.495 alpha=90.11 beta=90.11 gamma=103.69
Sites, in units of the cell vectors:
1 Nd 0.000 0.000 0.000
2 Nd 0.034 0.310 0.499
3 Nd 0.083 0.590 0.000
4 Nd 0.310 0.034 0.499
5 Nd 0.363 0.639 0.501
6 Nd 0.590 0.083 0.000
7 Nd 0.639 0.363 0.501
8 Nd 0.673 0.673 0.000
9 Tm 0.716 0.957 0.500
10 Tm 0.957 0.716 0.500
11 Mg 0.337 0.337 0.000

Results
* distance to the lowest polymorph of the same formula: 0 meV/atom
* DFT total energy: -47.1 eV/cell
* ΔE_f: 143 meV per atom
* theoretical density: 6.59 Mg/m³

=====

(6)
This record from Alexandria via LeMat-Bulk describes a relaxed Nd8TmMg2 crystal. The functional is PBE.

Unit cell a=9.336 b=9.336 c=8.212 alpha=107.42 beta=107.42 gamma=32.00
Sites, in units of the cell vectors:
1 Nd 0.050 0.050 0.235
2 Nd 0.140 0.140 0.696
3 Nd 0.316 0.316 0.566
4 Nd 0.406 0.406 0.041
5 Nd 0.594 0.594 0.959
6 Nd 0.684 0.684 0.434
7 Nd 0.860 0.860 0.304
8 Nd 0.950 0.950 0.765
9 Tm 0.500 0.500 0.500
10 Mg 0.227 0.227 0.134
11 Mg 0.773 0.773 0.866

Results
* distance to the lowest polymorph of the same formula: 0 meV/atom
* DFT total energy: -45.7 eV/cell
* ΔE_f: 6 meV per atom
* theoretical density: 6.32 Mg/m³

=====

(7)
This record from Alexandria via LeMat-Bulk describes a relaxed Nd5TmMg4 crystal. The functional is PBE.

Unit cell a=3.837 b=3.837 c=20.467 alpha=90.00 beta=90.00 gamma=90.00
Sites, in units of the cell vectors:
1 Nd 0.000 0.000 0.000
2 Nd 0.000 0.000 0.192
3 Nd 0.000 0.000 0.386
4 Nd 0.000 0.000 0.614
5 Nd 0.000 0.000 0.808
6 Tm 0.500 0.500 0.500
7 Mg 0.500 0.500 0.096
8 Mg 0.500 0.500 0.289
9 Mg 0.500 0.500 0.711
10 Mg 0.500 0.500 0.904

Results
* DFT total energy: -35.4 eV/cell
* ΔE_f: -75 meV per atom
* theoretical density: 5.44 Mg/m³

=====

(8)
This record from Alexandria via LeMat-Bulk describes a relaxed Nd3TmMg crystal. The functional is PBE.

Unit cell a=3.614 b=11.152 c=8.712 alpha=90.00 beta=90.03 gamma=90.00
Sites, in units of the cell vectors:
1 Nd 0.249 0.250 0.173
2 Nd 0.250 0.018 0.692
3 Nd 0.250 0.482 0.692
4 Nd 0.750 0.518 0.308
5 Nd 0.750 0.982 0.308
6 Nd 0.751 0.750 0.827
7 Tm 0.250 0.750 0.496
8 Tm 0.750 0.250 0.504
9 Mg 0.252 0.750 0.140
10 Mg 0.748 0.250 0.860

Results
* distance to the lowest polymorph of the same formula: 120 meV/atom
* DFT total energy: -38.9 eV/cell
* ΔE_f: 186 meV per atom
* theoretical density: 5.92 Mg/m³